The following is a DFT calculation (PBE) of a relaxed structure of Pm11In9Pd4.

The space group is Cmmm (No. 65) and the conventional cell measures 14.920, 22.420 and 3.799 Å, with angles of 90.00, 90.00 and 90.00 degrees. The distinct sites, in fractional coordinates, are Pm at (0.000, 0.000, 0.000), Pm at (0.000, 0.162, 0.000), Pm at (0.000, 0.372, 0.000), Pm at (0.192, 0.500, 0.000), Pm at (0.242, 0.171, 0.000), In at (0.000, 0.500, 0.500), In at (0.104, 0.264, 0.500), In at (0.146, 0.071, 0.500) and Pd at (0.153, 0.399, 0.500).

The raw total energy is -226.77 eV/cell. As for the energy of formation: -0.655 eV per atom.



The following is a DFT calculation (PBE) of a relaxed structure of SbRhPb2W.

The space group is P4/mmm (No. 123) and the conventional cell measures 5.369, 5.369 and 5.145 Å, with angles of 90.00, 90.00 and 90.00 degrees. The distinct sites, in fractional coordinates, are Sb at (0.000, 0.000, 0.000), Rh at (0.500, 0.500, 0.000), Pb at (0.000, 0.500, 0.500) and W at (0.000, 0.000, 0.500).

The raw total energy is -26.17 eV/cell. Its formation energy from raw total energies is 1.134 eV/atom.



The following is a DFT calculation (PBE) of a relaxed structure of ZrTaTi.

The space group is I4/mmm (No. 139) and the conventional cell measures 3.160, 3.160 and 24.627 Å, with angles of 90.00, 90.00 and 90.00 degrees. The distinct sites, in fractional coordinates, are Zr at (0.000, 0.000, 0.065), Ta at (0.000, 0.000, 0.214) and Ti at (0.000, 0.000, 0.356).

The raw total energy is -111.07 eV/cell. As for the energy of formation: 0.176 eV per atom.



The following is a DFT calculation (PBE) of a relaxed structure of CdFeW.

The space group is F-43m (No. 216) and the conventional cell measures 5.934, 5.934 and 5.934 Å, with angles of 90.00, 90.00 and 90.00 degrees. The distinct sites, in fractional coordinates, are Cd at (0.000, 0.000, 0.000), Fe at (0.250, 0.250, 0.750) and W at (0.000, 0.000, 0.500).

The raw total energy is -79.13 eV/cell. As for the energy of formation: 0.849 eV per atom.



The following is a DFT calculation (PBE) of a relaxed structure of RbPdF2.

The space group is R-3m (No. 166, hexagonal axes) and the conventional cell measures 3.7147, 3.7147 and 22.0516 Å, with angles of 90.00, 90.00 and 120.00 degrees. The distinct sites, in fractional coordinates, are Rb at (0.0000, 0.0000, 0.0000), Pd at (0.0000, 0.0000, 0.5000) and F at (0.0000, 0.0000, 0.4089).

The raw total energy is -48.38 eV/cell. Its formation energy from raw total energies is -1.556 eV/atom.



The following is a DFT calculation (PBE) of a relaxed structure of ScZn2Mo.

The space group is P4mm (No. 99) and the conventional cell measures 2.809, 2.809 and 8.320 Å, with angles of 90.00, 90.00 and 90.00 degrees. The distinct sites, in fractional coordinates, are Sc at (0.000, 0.000, 0.000), Zn at (0.000, 0.000, 0.485), Zn at (0.500, 0.500, 0.263) and Mo at (0.500, 0.500, 0.724).

The raw total energy is -19.70 eV/cell. As for the energy of formation: 0.004 eV per atom.



The following is a DFT calculation (PBE) of a relaxed structure of BaCaRu.

The space group is F-43m (No. 216) and the conventional cell measures 7.098, 7.098 and 7.098 Å, with angles of 90.00, 90.00 and 90.00 degrees. The distinct sites, in fractional coordinates, are Ba at (0.000, 0.000, 0.000), Ca at (0.250, 0.250, 0.250) and Ru at (0.250, 0.250, 0.750).

The raw total energy is -39.53 eV/cell. As for the energy of formation: 1.106 eV per atom.



The following is a DFT calculation (PBE) of a relaxed structure of MoPdN2.

The space group is R-3m (No. 166, hexagonal axes) and the conventional cell measures 3.0468, 3.0468 and 18.7201 Å, with angles of 90.00, 90.00 and 120.00 degrees. The distinct sites, in fractional coordinates, are Mo at (0.0000, 0.0000, 0.0000), Pd at (0.0000, 0.0000, 0.5000) and N at (0.0000, 0.0000, 0.1031).

The raw total energy is -87.54 eV/cell. Its formation energy from raw total energies is 0.874 eV/atom.



The following is a DFT calculation (PBE) of a relaxed structure of LaTbSn6.

The space group is P4/mmm (No. 123) and the conventional cell measures 4.812, 4.812 and 9.336 Å, with angles of 90.00, 90.00 and 90.00 degrees. The distinct sites, in fractional coordinates, are La at (0.000, 0.000, 0.000), Tb at (0.000, 0.000, 0.500), Sn at (0.000, 0.500, 0.256), Sn at (0.500, 0.500, 0.000) and Sn at (0.500, 0.500, 0.500).

The raw total energy is -37.65 eV/cell. As for the energy of formation: -0.509 eV per atom.



The following is a DFT calculation (PBE) of a relaxed structure of CsBiMo2Pb.

The space group is P4/mmm (No. 123) and the conventional cell measures 5.655, 5.655 and 6.296 Å, with angles of 90.00, 90.00 and 90.00 degrees. The distinct sites, in fractional coordinates, are Cs at (0.000, 0.000, 0.000), Bi at (0.500, 0.500, 0.500), Mo at (0.000, 0.500, 0.500) and Pb at (0.500, 0.500, 0.000).

The raw total energy is -22.10 eV/cell. As for the energy of formation: 1.600 eV per atom.



The following is a DFT calculation (PBE) of a relaxed structure of CoAs2P6.

The space group is P-31m (No. 162) and the conventional cell measures 6.0511, 6.0511 and 4.7680 Å, with angles of 90.00, 90.00 and 120.00 degrees. The distinct sites, in fractional coordinates, are Co at (0.0000, 0.0000, 0.0000), As at (0.3333, 0.6667, 0.5000) and P at (0.0000, 0.3559, 0.8411).

The raw total energy is -47.77 eV/cell. As for the energy of formation: 0.121 eV per atom.



The following is a DFT calculation (PBE) of a relaxed structure of Co2MoPt4.

The space group is I4/mmm (No. 139) and the conventional cell measures 4.805, 4.805 and 12.018 Å, with angles of 90.00, 90.00 and 90.00 degrees. The distinct sites, in fractional coordinates, are Co at (0.000, 0.000, 0.094), Mo at (0.000, 0.000, 0.500), Pt at (0.000, 0.000, 0.295) and Pt at (0.000, 0.500, 0.000).

The raw total energy is -83.35 eV/cell. As for the energy of formation: 1.076 eV per atom.



The following is a DFT calculation (PBE) of a relaxed structure of SbMo.

The space group is F-43m (No. 216) and the conventional cell measures 6.203, 6.203 and 6.203 Å, with angles of 90.00, 90.00 and 90.00 degrees. The distinct sites, in fractional coordinates, are Sb at (0.000, 0.000, 0.000) and Mo at (0.250, 0.250, 0.250).

The raw total energy is -51.05 eV/cell. Its formation energy from raw total energies is 1.096 eV/atom.



The following is a DFT calculation (PBE) of a relaxed structure of NbZnCrHg2.

The space group is P4/mmm (No. 123) and the conventional cell measures 5.538, 5.538 and 4.617 Å, with angles of 90.00, 90.00 and 90.00 degrees. The distinct sites, in fractional coordinates, are Nb at (0.000, 0.000, 0.000), Zn at (0.500, 0.500, 0.500), Cr at (0.000, 0.000, 0.500) and Hg at (0.000, 0.500, 0.000).

The raw total energy is -15.95 eV/cell. As for the energy of formation: 1.125 eV per atom.